VASP calculation (PBE) on a relaxed structure of Ba3TlPb8.

Summary:
The calculation puts the total energy at -126.14 eV/cell.

Cell: 6.7704 6.7704 32.4533 Å, 90.00 90.00 120.00°
Space group R3m (No. 160, hexagonal axes)
Unique sites:
1 Ba 0.0000 0.0000 0.0000
2 Ba 0.0000 0.0000 0.1286
3 Ba 0.0000 0.0000 0.6179
4 Tl 0.0000 0.0000 0.4952
5 Pb 0.0000 0.0000 0.3109
6 Pb 0.0000 0.0000 0.8122
7 Pb 0.1669 0.3339 0.3959
8 Pb 0.1672 0.3343 0.8953

---

VASP calculation (PBE) on a relaxed structure of Hf3ZrRe.

Summary:
The value obtained for the distance to the lowest polymorph of the same formula is 0.000 eV/atom. The calculation puts the total energy at -298.29 eV/cell.

Cell: 6.2653 6.2653 19.3587 Å, 90.00 90.00 120.00°
Space group R-3m (No. 166, hexagonal axes)
Unique sites:
1 Hf 0.0058 0.5029 0.3953
2 Zr 0.0000 0.0000 0.4166
3 Re 0.0000 0.0000 0.1670

---

VASP calculation (PBE) on a relaxed structure of Y3TiTl.

Summary:
The value obtained for the distance to the lowest polymorph of the same formula is 0.000 eV/atom. The calculation puts the total energy at -27.39 eV/cell.

Cell: 5.3658 5.3658 5.3658 Å, 90.00 90.00 90.00°
Space group Pm-3m (No. 221)
Unique sites:
1 Y 0.0000 0.0000 0.5000
2 Ti 0.0000 0.0000 0.0000
3 Tl 0.5000 0.5000 0.5000

---

VASP calculation (PBE) on a relaxed structure of TaPb2Au.

Summary:
The value obtained for the distance to the lowest polymorph of the same formula is 0.322 eV/atom. The calculation puts the total energy at -20.62 eV/cell.

Cell: 3.6591 3.8878 6.3473 Å, 90.00 90.00 90.00°
Space group Pmmm (No. 47)
Unique sites:
1 Ta 0.0000 0.0000 0.0000
2 Pb 0.5000 0.5000 0.2455
3 Au 0.0000 0.0000 0.5000

---

VASP calculation (PBE) on a relaxed structure of Cd2IrAu.

Summary:
The value obtained for the distance to the lowest polymorph of the same formula is 0.052 eV/atom. The calculation puts the total energy at -27.28 eV/cell.

Cell: 10.4598 3.0743 4.8973 Å, 90.00 111.47 90.00°
Space group Cm (No. 8)
Unique sites:
1 Cd 0.0000 0.0000 0.0000
2 Cd 0.2234 0.0000 0.6117
3 Ir 0.4815 0.0000 0.5018
4 Au 0.2549 0.5000 0.1321

---

VASP calculation (PBE) on a relaxed structure of CoBOs3.

Summary:
The value obtained for the distance to the lowest polymorph of the same formula is 0.000 eV/atom. The calculation puts the total energy at -44.82 eV/cell.

Cell: 4.0288 4.0288 4.0288 Å, 90.00 90.00 90.00°
Space group Pm-3m (No. 221)
Unique sites:
1 Co 0.0000 0.0000 0.0000
2 B 0.5000 0.5000 0.5000
3 Os 0.0000 0.5000 0.5000

---

VASP calculation (PBE) on a relaxed structure of CsPSe2N.

Summary:
The value obtained for the distance to the lowest polymorph of the same formula is 1.906 eV/atom. The calculation puts the total energy at -10.60 eV/cell. Its formation energy from raw total energies is 2.19 eV per atom.

Cell: 6.1814 6.1814 4.5025 Å, 90.00 90.00 90.00°
Space group P4/mmm (No. 123)
Unique sites:
1 Cs 0.0000 0.0000 0.0000
2 P 0.5000 0.5000 0.5000
3 Se 0.0000 0.5000 0.0000
4 N 0.0000 0.0000 0.5000

---

VASP calculation (PBE) on a relaxed structure of UTcNiGe.

Summary:
The calculation puts the total energy at -129.02 eV/cell.

Cell: 6.4080 6.4080 6.4080 Å, 90.00 90.00 90.00°
Space group F-43m (No. 216)
Unique sites:
1 U 0.0000 0.0000 0.0000
2 Tc 0.2500 0.2500 0.7500
3 Ni 0.2500 0.2500 0.2500
4 Ge 0.0000 0.0000 0.5000

---

VASP calculation (PBE) on a relaxed structure of Y2AlPt.

Summary:
The calculation puts the total energy at -50.34 eV/cell.

Cell: 4.2390 4.2390 9.8317 Å, 90.00 90.00 90.00°
Space group I-4m2 (No. 119)
Unique sites:
1 Y 0.0000 0.0000 0.0000
2 Y 0.0000 0.5000 0.2500
3 Al 0.0000 0.5000 0.7500
4 Pt 0.0000 0.0000 0.5000

---

VASP calculation (PBE) on a relaxed structure of TlZn2In8.

Summary:
The calculation puts the total energy at -52.09 eV/cell.

Cell: 8.5861 12.5190 5.6169 Å, 90.00 106.83 90.00°
Space group C2/m (No. 12)
Unique sites:
1 Tl 0.0000 0.0000 0.0000
2 Zn 0.0000 0.3181 0.5000
3 In 0.0000 0.2536 0.0000
4 In 0.1168 0.5000 0.8239
5 In 0.1999 0.1233 0.6064

---

VASP calculation (PBE) on a relaxed structure of La2YMgOs.

Summary:
The calculation puts the total energy at -29.41 eV/cell.

Cell: 5.5815 5.5815 5.5134 Å, 90.00 90.00 90.00°
Space group P4/mmm (No. 123)
Unique sites:
1 La 0.0000 0.5000 0.0000
2 Y 0.0000 0.0000 0.5000
3 Mg 0.5000 0.5000 0.5000
4 Os 0.0000 0.0000 0.0000

---

VASP calculation (PBE) on a relaxed structure of ZrPa3Se4.

Summary:
The calculation puts the total energy at -120.77 eV/cell. Its formation energy from raw total energies is -1.18 eV per atom.

Cell: 7.0635 7.9611 6.9130 Å, 90.00 108.97 90.00°
Space group P2/c (No. 13)
Unique sites:
1 Zr 0.0000 0.1356 0.2500
2 Pa 0.0000 0.3762 0.7500
3 Pa 0.5000 0.1232 0.7500
4 Pa 0.5000 0.3712 0.2500
5 Se 0.2347 0.1171 0.9960
6 Se 0.2468 0.3710 0.4978

---

VASP calculation (PBE) on a relaxed structure of Nd2Ho2TmSc2.

Summary:
The calculation puts the total energy at -68.19 eV/cell.

Cell: 11.0832 3.3453 12.0703 Å, 90.00 103.25 90.00°
Space group C2/m (No. 12)
Unique sites:
1 Nd 0.2259 0.0000 0.3549
2 Ho 0.0895 0.0000 0.7964
3 Tm 0.0000 0.0000 0.5000
4 Sc 0.1549 0.0000 0.0691